The following is a GGA+U calculation of a relaxed K3Ac3MnO8 crystal, from Alexandria via LeMat-Bulk.

abc: 7.323 7.324 7.608
angles: 118.76 90.00 119.99
Each line ends with the local moment (μB).
Sites, in units of the cell vectors:
1 O 0.197 0.975 0.672  -0.08
2 O 0.222 0.025 0.328  -0.08
3 O 0.778 0.975 0.672  -0.08
4 Mn 0.000 0.000 0.500  3.47
5 K 0.500 0.500 0.000  0.00
6 K 0.000 0.500 0.000  0.00
7 O 0.803 0.025 0.328  -0.08
8 Ac 0.500 0.500 0.500  0.00
9 O 0.734 0.468 0.701  0.00
10 O 0.803 0.607 0.328  -0.08
11 K 0.000 0.000 0.000  0.00
12 O 0.266 0.532 0.299  0.00
13 Ac 0.000 0.500 0.500  0.00
14 O 0.197 0.393 0.672  -0.08
15 Ac 0.500 0.000 0.500  0.00

Its theoretical density is 5.55 Mg/m³. The energy is -96.6 eV/cell. As for the space group: R-3m (166).